# BaSiPt2F | Alexandria via LeMat-Bulk | PBE | relaxed
# Uncorrected formation energy   1464 meV per atom
# DOS at the Fermi energy   0.5073 states/eV/atom
# Crystal system   tetragonal
# Total moment   1.1 μB/f.u.
# Calculated total energy   -2.80 eV/atom
data_BaSiPt2F
_chemical_formula_sum 'Ba1 Si1 Pt2 F1'
_space_group_name_H-M_alt 'P 4/m m m'
_space_group_IT_number 123
_space_group_name_Hall '-P 4 2'
_cell_length_a 5.3772
_cell_length_b 5.3772
_cell_length_c 6.9147
_cell_angle_alpha 90.00
_cell_angle_beta 90.00
_cell_angle_gamma 90.00
loop_
_atom_site_label
_atom_site_fract_x
_atom_site_fract_y
_atom_site_fract_z
_atom_site_occupancy
Ba1 0.0000 0.0000 0.0000 1
Si1 0.0000 0.0000 0.5000 1
Pt1 0.0000 0.5000 0.0000 1
F1 0.5000 0.5000 0.5000 1

---

# RbDyMg2Cl8 | Alexandria via LeMat-Bulk | PBE | relaxed
# Uncorrected formation energy   -1973 meV per atom
# DOS at the Fermi energy   0.0000 states/eV/atom
# Crystal system   triclinic
# Total moment   0.0 μB/f.u.
# Calculated total energy   -3.93 eV/atom
data_RbDyMg2Cl8
_chemical_formula_sum 'Rb1 Dy1 Mg2 Cl8'
_space_group_name_H-M_alt 'P -1'
_space_group_IT_number 2
_space_group_name_Hall '-P 1'
_cell_length_a 6.5580
_cell_length_b 6.5987
_cell_length_c 9.1526
_cell_angle_alpha 76.10
_cell_angle_beta 77.23
_cell_angle_gamma 75.88
loop_
_atom_site_label
_atom_site_fract_x
_atom_site_fract_y
_atom_site_fract_z
_atom_site_occupancy
Rb1 0.0000 0.0000 0.0000 1
Dy1 0.0000 0.0000 0.5000 1
Mg1 0.4586 0.4501 0.2102 1
Cl1 0.1886 0.7283 0.7232 1
Cl2 0.2398 0.7794 0.2916 1
Cl3 0.2841 0.2400 0.4458 1
Cl4 0.3619 0.3143 0.0191 1

---

# RbZn2Tc | Alexandria via LeMat-Bulk | PBE | relaxed
# DOS at the Fermi energy   1.0553 states/eV/atom
# ΔE to the lowest computed polymorph   0 meV per atom
# Crystal system   tetragonal
# Calculated formation energy   0.82 eV/atom
# Total moment   2.2 μB/f.u.
# Calculated total energy   -2.65 eV/atom
data_RbZn2Tc
_chemical_formula_sum 'Rb4 Zn8 Tc4'
_space_group_name_H-M_alt 'I 41/a m d'
_space_group_IT_number 141
_cell_length_a 5.3546
_cell_length_b 5.3546
_cell_length_c 17.3820
_cell_angle_alpha 90.00
_cell_angle_beta 90.00
_cell_angle_gamma 90.00
loop_
_space_group_symop_operation_xyz
'x,y,z'
'-x,-y,-z'
'-y+1/4,x+3/4,z+1/4'
'y+1/4,-x+3/4,-z+1/4'
'-x+1/2,-y,z+1/2'
'x+1/2,y,-z+1/2'
'y+1/4,-x+1/4,z+3/4'
'-y+1/4,x+1/4,-z+3/4'
'x,-y,-z'
'-x,y,z'
'-y+1/4,-x+1/4,-z+3/4'
'y+1/4,x+1/4,z+3/4'
'-x+1/2,y,-z+1/2'
'x+1/2,-y,z+1/2'
'y+1/4,x+3/4,-z+1/4'
'-y+1/4,-x+3/4,z+1/4'
'x+1/2,y+1/2,z+1/2'
'-x+1/2,-y+1/2,-z+1/2'
'-y+3/4,x+1/4,z+3/4'
'y+3/4,-x+1/4,-z+3/4'
'-x,-y+1/2,z'
'x,y+1/2,-z'
'y+3/4,-x+3/4,z+1/4'
'-y+3/4,x+3/4,-z+1/4'
'x+1/2,-y+1/2,-z+1/2'
'-x+1/2,y+1/2,z+1/2'
'-y+3/4,-x+3/4,-z+1/4'
'y+3/4,x+3/4,z+1/4'
'-x,y+1/2,-z'
'x,-y+1/2,z'
'y+3/4,x+1/4,-z+3/4'
'-y+3/4,-x+1/4,z+3/4'
loop_
_atom_site_label
_atom_site_fract_x
_atom_site_fract_y
_atom_site_fract_z
_atom_site_occupancy
Rb1 0.0000 0.2500 0.3750 1
Zn1 0.0000 0.0000 0.0000 1
Tc1 0.0000 0.2500 0.8750 1

---

# BeTlI2O | Alexandria via LeMat-Bulk | PBE | relaxed
# Uncorrected formation energy   -880 meV per atom
# DOS at the Fermi energy   0.1086 states/eV/atom
# ΔE to the lowest computed polymorph   0 meV per atom
# Crystal system   tetragonal
# Total moment   0.0 μB/f.u.
# Calculated total energy   -3.71 eV/atom
data_BeTlI2O
_chemical_formula_sum 'Be1 Tl1 I2 O1'
_space_group_name_H-M_alt 'P 4/m m m'
_space_group_IT_number 123
_space_group_name_Hall '-P 4 2'
_cell_length_a 6.9006
_cell_length_b 6.9006
_cell_length_c 3.0045
_cell_angle_alpha 90.00
_cell_angle_beta 90.00
_cell_angle_gamma 90.00
loop_
_atom_site_label
_atom_site_fract_x
_atom_site_fract_y
_atom_site_fract_z
_atom_site_occupancy
Be1 0.0000 0.0000 0.0000 1
Tl1 0.5000 0.5000 0.5000 1
I1 0.0000 0.5000 0.0000 1
O1 0.0000 0.0000 0.5000 1